A geometry-optimized Ce2BiAu8 structure. Source: Alexandria, functional PBE.

abc: 4.9705 5.7938 10.3877
angles: 123.86 103.84 90.00
With the nearest neighbours (Å) after each atom.
Fractional coordinates of all 11 atoms:
Ce 0.8611 0.5405 0.7223  11 Au 2.99-3.31
Ce 0.1389 0.4595 0.2777  11 Au 2.99-3.31
Au 0.9429 0.1887 0.8859  4 Au 2.87-3.08, 1 Ce 3.12, 2 Bi 3.18
Au 0.6809 0.2288 0.3618  4 Au 2.81-2.99, 1 Ce 2.99, 1 Bi 3.09
Au 0.2432 0.1506 0.4864  7 Au 2.91-3.14
Au 0.3191 0.7712 0.6382  4 Au 2.81-2.99, 1 Ce 2.99, 1 Bi 3.09
Au 0.5864 0.6366 0.1728  5 Au 2.81-2.91, 1 Bi 3.04, 2 Ce 3.10
Au 0.0571 0.8113 0.1141  4 Au 2.87-3.08, 1 Ce 3.12, 2 Bi 3.18
Bi 0.5000 0.0000 0.0000  8 Au 3.04-3.18
Au 0.7568 0.8494 0.5136  7 Au 2.91-3.14
Au 0.4136 0.3634 0.8272  5 Au 2.81-2.91, 1 Bi 3.04, 2 Ce 3.10

Results
- Spin magnetization: 1.58 μB per formula unit
- ΔE_f: -0.427 eV per atom
- Calculated total energy: -4.242 eV/atom



A geometry-optimized CeBi2Au structure. Source: Alexandria, functional PBE.

abc: 4.7067 4.7067 9.8230
angles: 90.00 90.00 90.00
With the nearest neighbours (Å) after each atom.
Fractional coordinates of all 8 atoms:
Bi 0.0000 0.5000 0.1958  4 Au 3.04, 4 Ce 3.35
Bi 0.5000 0.0000 0.8042  4 Au 3.04, 4 Ce 3.35
Ce 0.5000 0.0000 0.2321  4 Au 3.28, 8 Bi 3.35-3.53
Ce 0.0000 0.5000 0.7679  4 Au 3.28, 8 Bi 3.35-3.53
Au 0.0000 0.0000 0.0000  4 Bi 3.04, 4 Ce 3.28, 4 Au 3.33
Au 0.5000 0.5000 0.0000  4 Bi 3.04, 4 Ce 3.28, 4 Au 3.33
Bi 0.0000 0.0000 0.5000  4 Bi 3.33, 4 Ce 3.53
Bi 0.5000 0.5000 0.5000  4 Bi 3.33, 4 Ce 3.53

Results
- Energy above the most stable polymorph in this dataset: 0.0 meV/atom
- Spin magnetization: 0.70 μB per formula unit
- ΔE_f: -0.560 eV per atom
- Calculated total energy: -4.804 eV/atom



A geometry-optimized CeDyBiAu structure. Source: Alexandria, functional PBE.

abc: 5.3615 5.3615 5.3615
angles: 60.00 60.00 60.00
With the nearest neighbours (Å) after each atom.
Fractional coordinates of all 4 atoms:
Bi 0.5000 0.5000 0.5000  4 Ce 3.28, 4 Dy 3.28
Ce 0.2500 0.2500 0.2500  4 Au 3.28, 4 Bi 3.28
Au 0.0000 0.0000 0.0000  4 Dy 3.28, 4 Ce 3.28
Dy 0.7500 0.7500 0.7500  4 Au 3.28, 4 Bi 3.28

Results
- Spin magnetization: 2.23 μB per formula unit
- ΔE_f: -0.605 eV per atom
- Calculated total energy: -5.028 eV/atom



A geometry-optimized CeErBiAu structure. Source: Alexandria, functional PBE.

abc: 5.3422 5.3422 5.3422
angles: 60.00 60.00 60.00
With the nearest neighbours (Å) after each atom.
Fractional coordinates of all 4 atoms:
Bi 0.5000 0.5000 0.5000  4 Ce 3.27, 4 Er 3.27
Ce 0.7500 0.7500 0.7500  4 Bi 3.27, 4 Au 3.27
Er 0.2500 0.2500 0.2500  4 Au 3.27, 4 Bi 3.27
Au 0.0000 0.0000 0.0000  4 Er 3.27, 4 Ce 3.27

Results
- Spin magnetization: 2.16 μB per formula unit
- ΔE_f: -0.589 eV per atom
- Calculated total energy: -5.003 eV/atom